# 1
# Pr2CuGe2O8 | Alexandria via LeMat-Bulk | GGA-PBE | optimized geometry
# symmetry = Cm
# total moment = 1.00 μB/f.u.
data_Pr2CuGe2O8
_chemical_formula_sum 'Pr4 Cu2 Ge4 O16'
_cell_length_a 9.218
_cell_length_b 9.218
_cell_length_c 5.246
_cell_angle_alpha 74.44
_cell_angle_beta 74.44
_cell_angle_gamma 114.47
_symmetry_space_group_name_H-M 'P 1'
_symmetry_Int_Tables_number 1
loop_
_symmetry_equiv_pos_as_xyz
'x,y,z'
loop_
_atom_site_label
_atom_site_type_symbol
_atom_site_fract_x
_atom_site_fract_y
_atom_site_fract_z
_atom_site_occupancy
O1 O 0.504 0.156 0.241 1
O2 O 0.429 0.245 0.764 1
O3 O 0.672 0.672 0.343 1
O4 O 0.907 0.370 0.938 1
O5 O 0.719 0.238 0.567 1
O6 O 0.245 0.429 0.764 1
O7 O 0.238 0.719 0.567 1
O8 O 0.765 0.951 0.550 1
O9 O 0.156 0.504 0.241 1
O10 O 0.370 0.907 0.938 1
O11 O 0.173 0.173 0.337 1
O12 O 0.501 0.501 0.020 1
O13 O 0.998 0.652 0.069 1
O14 O 0.999 0.999 0.986 1
O15 O 0.951 0.765 0.550 1
O16 O 0.652 0.998 0.069 1
Ge1 Ge 0.847 0.847 0.359 1
Ge2 Ge 0.334 0.334 0.979 1
Ge3 Ge 0.107 0.529 0.923 1
Ge4 Ge 0.529 0.107 0.923 1
Pr1 Pr 0.198 0.955 0.670 1
Pr2 Pr 0.955 0.198 0.670 1
Pr3 Pr 0.696 0.453 0.206 1
Pr4 Pr 0.453 0.696 0.206 1
Cu1 Cu 0.663 0.075 0.369 1
Cu2 Cu 0.075 0.663 0.369 1

***

# 2
# Nd2Tl5Br12 | Alexandria via LeMat-Bulk | GGA-PBE | optimized geometry
# symmetry = C2/m
# total moment = 0.00 μB/f.u.
data_Nd2Tl5Br12
_chemical_formula_sum 'Nd2 Tl5 Br12'
_cell_length_a 8.671
_cell_length_b 9.966
_cell_length_c 10.415
_cell_angle_alpha 107.63
_cell_angle_beta 90.00
_cell_angle_gamma 115.79
_symmetry_space_group_name_H-M 'P 1'
_symmetry_Int_Tables_number 1
loop_
_symmetry_equiv_pos_as_xyz
'x,y,z'
loop_
_atom_site_label
_atom_site_type_symbol
_atom_site_fract_x
_atom_site_fract_y
_atom_site_fract_z
_atom_site_occupancy
Br1 Br 0.563 0.664 0.910 1
Br2 Br 0.891 0.260 0.557 1
Br3 Br 0.632 0.740 0.443 1
Br4 Br 0.109 0.740 0.443 1
Br5 Br 0.506 0.012 0.198 1
Br6 Br 0.000 0.000 0.187 1
Br7 Br 0.101 0.664 0.910 1
Br8 Br 0.000 0.000 0.813 1
Br9 Br 0.437 0.336 0.090 1
Br10 Br 0.899 0.336 0.090 1
Br11 Br 0.368 0.260 0.557 1
Br12 Br 0.494 0.988 0.802 1
Tl1 Tl 0.721 0.441 0.378 1
Tl2 Tl 0.314 0.627 0.189 1
Tl3 Tl 0.000 0.000 0.500 1
Tl4 Tl 0.279 0.559 0.622 1
Tl5 Tl 0.686 0.373 0.811 1
Nd1 Nd 0.747 0.000 0.000 1
Nd2 Nd 0.253 0.000 0.000 1

***

Number 1: formation energy from raw total energies -2227 meV per atom. Number 2: formation energy from raw total energies -1211 meV per atom.